The following is a DFT calculation (PBE) of crystalline UBePt at its relaxed geometry.

Lattice parameters (Å, degrees): 5.9725 5.9725 5.9725 90.00 90.00 90.00
Last column: nearest neighbours and their distance in Å.
Space group F-43m (No. 216)
Asymmetric unit:
U (0.0000, 0.0000, 0.0000)  4 Be 2.59
Be (0.2500, 0.2500, 0.7500)  4 U 2.59, 4 Pt 2.59
Pt (0.0000, 0.0000, 0.5000)  4 Be 2.59

Properties
**Spin magnetization**: 0.08 μB per formula unit
**Distance to the lowest polymorph of the same formula**: 0.000 eV/atom
**E_tot**: -21.0 eV per formula unit

The following is a DFT calculation (PBE) of crystalline BePtW2 at its relaxed geometry.

Lattice parameters (Å, degrees): 6.1661 6.1661 6.1661 90.00 90.00 90.00
Last column: nearest neighbours and their distance in Å.
Space group F-43m (No. 216)
Asymmetric unit:
Be (0.0000, 0.0000, 0.0000)  4 W 2.67, 4 Pt 2.67
Pt (0.2500, 0.2500, 0.2500)  4 W 2.67, 4 Be 2.67
W (0.0000, 0.0000, 0.5000)  4 Pt 2.67, 4 W 2.67
W (0.2500, 0.2500, 0.7500)  4 W 2.67, 4 Be 2.67

Properties
**Spin magnetization**: 0.01 μB per formula unit
**E_tot**: -35.1 eV per formula unit

The following is a DFT calculation (PBE) of crystalline YBePt at its relaxed geometry.

Lattice parameters (Å, degrees): 6.3279 6.3279 6.3279 90.00 90.00 90.00
Last column: nearest neighbours and their distance in Å.
Space group F-43m (No. 216)
Asymmetric unit:
Y (0.0000, 0.0000, 0.0000)  4 Pt 2.74
Be (0.0000, 0.0000, 0.5000)  4 Pt 2.74
Pt (0.2500, 0.2500, 0.7500)  4 Be 2.74, 4 Y 2.74

Properties
**Spin magnetization**: 0.00 μB per formula unit
**Distance to the lowest polymorph of the same formula**: 0.000 eV/atom
**E_tot**: -17.5 eV per formula unit

The following is a DFT calculation (PBE) of crystalline YBePt at its relaxed geometry.

Lattice parameters (Å, degrees): 6.4544 6.4544 6.4544 90.00 90.00 90.00
Last column: nearest neighbours and their distance in Å.
Space group F-43m (No. 216)
Asymmetric unit:
Y (0.0000, 0.0000, 0.0000)  4 Be 2.79, 4 Pt 2.79
Be (0.2500, 0.2500, 0.7500)  4 Y 2.79
Pt (0.2500, 0.2500, 0.2500)  4 Y 2.79

Properties
**Spin magnetization**: 0.00 μB per formula unit
**Distance to the lowest polymorph of the same formula**: 0.600 eV/atom
**E_tot**: -15.7 eV per formula unit

The following is a DFT calculation (PBE) of crystalline YBePt2 at its relaxed geometry.

Lattice parameters (Å, degrees): 6.5058 6.5058 6.5058 90.00 90.00 90.00
Last column: nearest neighbours and their distance in Å.
Space group F-43m (No. 216)
Asymmetric unit:
Y (0.0000, 0.0000, 0.0000)  4 Pt 2.82, 4 Be 2.82
Be (0.2500, 0.2500, 0.7500)  4 Pt 2.82, 4 Y 2.82
Pt (0.0000, 0.0000, 0.5000)  4 Be 2.82, 4 Pt 2.82
Pt (0.2500, 0.2500, 0.2500)  4 Pt 2.82, 4 Y 2.82

Properties
**Spin magnetization**: 0.01 μB per formula unit
**E_tot**: -24.0 eV per formula unit

The following is a DFT calculation (PBE) of crystalline BeZnPt at its relaxed geometry.

Lattice parameters (Å, degrees): 5.7065 5.7065 5.7065 90.00 90.00 90.00
Last column: nearest neighbours and their distance in Å.
Space group F-43m (No. 216)
Asymmetric unit:
Be (0.0000, 0.0000, 0.0000)  4 Pt 2.47
Zn (0.0000, 0.0000, 0.5000)  4 Pt 2.47
Pt (0.2500, 0.2500, 0.2500)  4 Be 2.47, 4 Zn 2.47

Properties
**Spin magnetization**: 0.00 μB per formula unit
**Distance to the lowest polymorph of the same formula**: 0.149 eV/atom
**E_tot**: -11.7 eV per formula unit

The following is a DFT calculation (PBE) of crystalline BeZnPt at its relaxed geometry.

Lattice parameters (Å, degrees): 5.4571 5.4571 5.4571 90.00 90.00 90.00
Last column: nearest neighbours and their distance in Å.
Space group F-43m (No. 216)
Asymmetric unit:
Be (0.0000, 0.0000, 0.0000)  4 Pt 2.36, 4 Zn 2.36
Zn (0.2500, 0.2500, 0.2500)  4 Be 2.36
Pt (0.2500, 0.2500, 0.7500)  4 Be 2.36

Properties
**Spin magnetization**: 0.00 μB per formula unit
**Distance to the lowest polymorph of the same formula**: 0.000 eV/atom
**E_tot**: -12.2 eV per formula unit

The following is a DFT calculation (PBE) of crystalline Zr2Be2Pt at its relaxed geometry.

Lattice parameters (Å, degrees): 6.4182 6.4182 3.6974 90.00 90.00 90.00
Last column: nearest neighbours and their distance in Å.
Space group P4/mbm (No. 127)
Asymmetric unit:
Zr (0.1737, 0.3263, 0.0000)  6 Be 2.61-2.67
Be (0.1228, 0.6228, 0.5000)  1 Be 2.23
Pt (0.0000, 0.0000, 0.5000)  4 Be 2.55

Properties
**Spin magnetization**: 0.00 μB per formula unit
**E_tot**: -33.7 eV per formula unit

The following is a DFT calculation (PBE) of crystalline ZrBePt2 at its relaxed geometry.

Lattice parameters (Å, degrees): 6.3358 6.3358 6.3358 90.00 90.00 90.00
Last column: nearest neighbours and their distance in Å.
Space group F-43m (No. 216)
Asymmetric unit:
Zr (0.0000, 0.0000, 0.0000)  4 Be 2.74, 4 Pt 2.74
Be (0.2500, 0.2500, 0.7500)  4 Zr 2.74, 4 Pt 2.74
Pt (0.0000, 0.0000, 0.5000)  4 Be 2.74, 4 Pt 2.74
Pt (0.2500, 0.2500, 0.2500)  4 Zr 2.74, 4 Pt 2.74

Properties
**Spin magnetization**: 0.00 μB per formula unit
**E_tot**: -26.3 eV per formula unit

The following is a DFT calculation (PBE) of crystalline ZrBePt at its relaxed geometry.

Lattice parameters (Å, degrees): 6.4354 3.8842 7.3212 90.00 90.00 90.00
Last column: nearest neighbours and their distance in Å.
Space group Pnma (No. 62)
Asymmetric unit:
Zr (0.0137, 0.2500, 0.1866)  5 Be 2.74-2.83, 6 Pt 2.88-2.97
Be (0.2088, 0.7500, 0.3874)  4 Pt 2.37-2.47
Pt (0.1629, 0.2500, 0.5690)  4 Be 2.37-2.47

Properties
**Spin magnetization**: 0.01 μB per formula unit
**Distance to the lowest polymorph of the same formula**: 0.000 eV/atom
**E_tot**: -20.9 eV per formula unit

The following is a DFT calculation (PBE) of crystalline Zr2BePt at its relaxed geometry.

Lattice parameters (Å, degrees): 6.4821 6.4821 6.4821 90.00 90.00 90.00
Last column: nearest neighbours and their distance in Å.
Space group F-43m (No. 216)
Asymmetric unit:
Zr (0.0000, 0.0000, 0.0000)  4 Zr 2.81, 4 Pt 2.81
Zr (0.2500, 0.2500, 0.2500)  4 Zr 2.81, 4 Be 2.81
Be (0.0000, 0.0000, 0.5000)  4 Pt 2.81, 4 Zr 2.81
Pt (0.2500, 0.2500, 0.7500)  4 Zr 2.81, 4 Be 2.81

Properties
**Spin magnetization**: 2.00 μB per formula unit
**E_tot**: -27.6 eV per formula unit

The following is a DFT calculation (PBE) of crystalline ZrBePt at its relaxed geometry.

Lattice parameters (Å, degrees): 6.1511 6.1511 6.1511 90.00 90.00 90.00
Last column: nearest neighbours and their distance in Å.
Space group F-43m (No. 216)
Asymmetric unit:
Zr (0.0000, 0.0000, 0.0000)  4 Pt 2.66, 4 Be 2.66
Be (0.2500, 0.2500, 0.7500)  4 Zr 2.66
Pt (0.2500, 0.2500, 0.2500)  4 Zr 2.66

Properties
**Spin magnetization**: 0.00 μB per formula unit
**Distance to the lowest polymorph of the same formula**: 0.956 eV/atom
**E_tot**: -18.0 eV per formula unit

Repeat the tenth record exactly.
The following is a DFT calculation (PBE) of crystalline ZrBePt at its relaxed geometry.

Lattice parameters (Å, degrees): 6.4354 3.8842 7.3212 90.00 90.00 90.00
Last column: nearest neighbours and their distance in Å.
Space group Pnma (No. 62)
Asymmetric unit:
Zr (0.0137, 0.2500, 0.1866)  5 Be 2.74-2.83, 6 Pt 2.88-2.97
Be (0.2088, 0.7500, 0.3874)  4 Pt 2.37-2.47
Pt (0.1629, 0.2500, 0.5690)  4 Be 2.37-2.47

Properties
**Spin magnetization**: 0.01 μB per formula unit
**Distance to the lowest polymorph of the same formula**: 0.000 eV/atom
**E_tot**: -20.9 eV per formula unit

> Look up the spin magnetization of the fourth one.

0.00 μB per formula unit

> What is the formula in the third record?

YBePt

> Number 4 is which compound?

YBePt